Model 1:
DFT (PBE-GGA) results for a relaxed Y2ScAu crystal.

Cell and atoms, written as POSCAR:
```
Y2ScAu
1.0
1.8191 1.0503 9.6520
-1.8191 1.0503 9.6520
0.0000 -2.1005 9.6520
Y Sc Au
2 1 1
Direct
0.0000 0.0000 0.0000 Y
0.1851 0.1851 0.1851 Y
0.4262 0.4262 0.4262 Sc
0.5922 0.5922 0.5922 Au
```

Computed properties:
As for the density of states at the Fermi level: 1.5205 states/eV per atom. Its crystal system is trigonal.


Model 2:
DFT (PBE-GGA) results for a relaxed Y2ScAu crystal.

Cell and atoms, written as POSCAR:
```
Y2ScAu
1.0
-2.1898 2.1898 5.2628
2.1898 -2.1898 5.2628
2.1898 2.1898 -5.2628
Y Sc Au
2 1 1
Direct
0.0000 0.0000 0.0000 Y
0.7500 0.2500 0.5000 Y
0.5000 0.5000 0.0000 Sc
0.2500 0.7500 0.5000 Au
```

Computed properties:
As for the density of states at the Fermi level: 1.5315 states/eV per atom. Its crystal system is tetragonal.


Model 3:
DFT (PBE-GGA) results for a relaxed Y2ScAu crystal.

Cell and atoms, written as POSCAR:
```
Y2ScAu
1.0
4.0033 0.0000 0.0000
0.0000 5.0066 0.0000
0.0000 0.0000 5.0177
Y Sc Au
2 1 1
Direct
0.0000 0.0000 0.0000 Y
0.0000 0.5000 0.5000 Y
0.5000 0.0000 0.5000 Sc
0.5000 0.5000 0.0000 Au
```

Computed properties:
As for the density of states at the Fermi level: 1.4690 states/eV per atom. Its crystal system is orthorhombic.


Model 4:
DFT (PBE-GGA) results for a relaxed Y2ScAu crystal.

Cell and atoms, written as POSCAR:
```
Y2ScAu
1.0
3.7636 0.0000 0.0000
0.0000 4.6449 0.0000
-1.8714 0.0000 5.9941
Y Sc Au
2 1 1
Direct
0.0000 0.0000 0.0000 Y
0.3288 0.5000 0.6583 Y
0.7223 0.0000 0.4450 Sc
0.5879 0.5000 0.1756 Au
```

Computed properties:
As for the density of states at the Fermi level: 1.2637 states/eV per atom. Its crystal system is monoclinic.


Most stable structure: model 4


Model 1:
DFT (PBE-GGA) results for a relaxed YSc2Au2 crystal.

Cell and atoms, written as POSCAR:
```
YSc2Au2
1.0
-2.5036 2.5036 5.0169
2.5036 -2.5036 5.0169
2.5036 2.5036 -5.0169
Y Sc Au
1 2 2
Direct
0.0000 0.0000 0.0000 Y
0.3501 0.3501 0.0000 Sc
0.6499 0.6499 0.0000 Sc
0.2500 0.7500 0.5000 Au
0.7500 0.2500 0.5000 Au
```

Computed properties:
As for the density of states at the Fermi level: 0.9126 states/eV per atom. Its crystal system is tetragonal.


Model 2:
DFT (PBE-GGA) results for a relaxed YSc2Au2 crystal.

Cell and atoms, written as POSCAR:
```
YSc2Au2
1.0
8.1993 0.0000 0.0000
0.0000 8.1993 0.0000
0.0000 0.0000 3.2170
Y Sc Au
2 4 4
Direct
0.0000 0.0000 0.0000 Y
0.5000 0.5000 0.0000 Y
0.1400 0.3600 0.0000 Sc
0.3600 0.8600 0.0000 Sc
0.6400 0.1400 0.0000 Sc
0.8600 0.6400 0.0000 Sc
0.1573 0.6573 0.5000 Au
0.3427 0.1573 0.5000 Au
0.6573 0.8427 0.5000 Au
0.8427 0.3427 0.5000 Au
```

Computed properties:
As for the density of states at the Fermi level: 0.6086 states/eV per atom. Its crystal system is tetragonal.


Most stable structure: model 2


Model 1:
DFT (PBE-GGA) results for a relaxed YSc2Au2 crystal.

Cell and atoms, written as POSCAR:
```
YSc2Au2
1.0
7.9323 0.0000 0.0000
0.0000 7.9323 0.0000
0.0000 0.0000 3.5675
Y Sc Au
2 4 4
Direct
0.0000 0.0000 0.0000 Y
0.5000 0.5000 0.0000 Y
0.1602 0.3398 0.5000 Sc
0.3398 0.8398 0.5000 Sc
0.6602 0.1602 0.5000 Sc
0.8398 0.6602 0.5000 Sc
0.1335 0.6335 0.0000 Au
0.3665 0.1335 0.0000 Au
0.6335 0.8665 0.0000 Au
0.8665 0.3665 0.0000 Au
```

Computed properties:
As for the density of states at the Fermi level: 1.1764 states/eV per atom. Its crystal system is tetragonal.


Model 2:
DFT (PBE-GGA) results for a relaxed YSc2Au2 crystal.

Cell and atoms, written as POSCAR:
```
YSc2Au2
1.0
-2.2669 2.2669 5.7995
2.2669 -2.2669 5.7995
2.2669 2.2669 -5.7995
Y Sc Au
1 2 2
Direct
0.0000 0.0000 0.0000 Y
0.2500 0.7500 0.5000 Sc
0.7500 0.2500 0.5000 Sc
0.3848 0.3848 0.0000 Au
0.6152 0.6152 0.0000 Au
```

Computed properties:
As for the density of states at the Fermi level: 1.1914 states/eV per atom. Its crystal system is tetragonal.


Most stable structure: model 1


Model 1:
DFT (PBE-GGA) results for a relaxed Y3ScAu crystal.

Cell and atoms, written as POSCAR:
```
Y3ScAu
1.0
5.3727 0.0000 0.0000
0.0000 5.3727 0.0000
0.0000 0.0000 5.3727
Y Sc Au
3 1 1
Direct
0.0000 0.0000 0.5000 Y
0.0000 0.5000 0.0000 Y
0.5000 0.0000 0.0000 Y
0.0000 0.0000 0.0000 Sc
0.5000 0.5000 0.5000 Au
```

Computed properties:
As for the density of states at the Fermi level: 0.7275 states/eV per atom. Its crystal system is cubic.


Model 2:
DFT (PBE-GGA) results for a relaxed Y3ScAu crystal.

Cell and atoms, written as POSCAR:
```
Y3ScAu
1.0
5.5372 0.0000 0.0000
0.0000 5.5372 0.0000
0.0000 0.0000 5.5372
Y Sc Au
3 1 1
Direct
0.0000 0.0000 0.5000 Y
0.0000 0.5000 0.0000 Y
0.5000 0.0000 0.0000 Y
0.5000 0.5000 0.5000 Sc
0.0000 0.0000 0.0000 Au
```

Computed properties:
As for the density of states at the Fermi level: 1.4821 states/eV per atom. Its crystal system is cubic.


Most stable structure: model 2


Model 1:
DFT (PBE-GGA) results for a relaxed YScAu4 crystal.

Cell and atoms, written as POSCAR:
```
YScAu4
1.0
3.6531 0.0000 0.0000
0.0000 3.6531 0.0000
0.0000 0.0000 9.0156
Y Sc Au
1 1 4
Direct
0.0000 0.0000 0.0000 Y
0.5000 0.5000 0.5000 Sc
0.0000 0.0000 0.3424 Au
0.0000 0.0000 0.6576 Au
0.5000 0.5000 0.1734 Au
0.5000 0.5000 0.8266 Au
```

Computed properties:
As for the density of states at the Fermi level: 0.2226 states/eV per atom. Its crystal system is tetragonal.


Model 2:
DFT (PBE-GGA) results for a relaxed YScAu4 crystal.

Cell and atoms, written as POSCAR:
```
YScAu4
1.0
0.0000 3.9606 3.9606
3.9606 0.0000 3.9606
3.9606 3.9606 0.0000
Y Sc Au
1 1 4
Direct
0.0000 0.0000 0.0000 Y
0.2500 0.2500 0.2500 Sc
0.1258 0.6247 0.6247 Au
0.6247 0.1258 0.6247 Au
0.6247 0.6247 0.1258 Au
0.6247 0.6247 0.6247 Au
```

Computed properties:
As for the density of states at the Fermi level: 0.9195 states/eV per atom. Its crystal system is cubic.


Most stable structure: model 1


Model 1:
DFT (PBE-GGA) results for a relaxed ScZnAu3 crystal.

Cell and atoms, written as POSCAR:
```
ScZnAu3
1.0
4.4590 0.0000 0.0000
0.0000 6.6100 0.0000
0.0000 0.0000 6.3142
Sc Zn Au
2 2 6
Direct
0.2500 0.2500 0.2436 Sc
0.7500 0.7500 0.7564 Sc
0.2500 0.7500 0.4386 Zn
0.7500 0.2500 0.5614 Zn
0.2500 0.0406 0.7130 Au
0.2500 0.4594 0.7130 Au
0.2500 0.7500 0.0371 Au
0.7500 0.2500 0.9629 Au
0.7500 0.5406 0.2870 Au
0.7500 0.9594 0.2870 Au
```

Computed properties:
As for the density of states at the Fermi level: 0.6127 states/eV per atom. Its crystal system is orthorhombic.


Model 2:
DFT (PBE-GGA) results for a relaxed ScZnAu3 crystal.

Cell and atoms, written as POSCAR:
```
ScZnAu3
1.0
5.1970 0.0000 0.0000
0.0000 5.1970 0.0000
0.0000 0.0000 5.1970
Sc Zn Au
1 1 3
Direct
0.0000 0.0000 0.0000 Sc
0.5000 0.5000 0.5000 Zn
0.0000 0.0000 0.5000 Au
0.0000 0.5000 0.0000 Au
0.5000 0.0000 0.0000 Au
```

Computed properties:
As for the density of states at the Fermi level: 0.3472 states/eV per atom. Its crystal system is cubic.


Most stable structure: model 1